The following is a PBE calculation of an optimized crystal structure of Cs3Pb2F7, from the Alexandria database.

```
data_Cs3Pb2F7
_cell_length_a 4.9366
_cell_length_b 25.1968
_cell_length_c 4.8034
_cell_angle_alpha 90.00
_cell_angle_beta 90.00
_cell_angle_gamma 90.00
_symmetry_space_group_name_H-M 'C m m m'
_symmetry_Int_Tables_number 65
_symmetry_space_group_name_Hall '-C 2 2'
loop_
_atom_site_label
_atom_site_type_symbol
_atom_site_fract_x
_atom_site_fract_y
_atom_site_fract_z
Cs1 Cs 0.0000 0.0000 0.0000
Cs2 Cs 0.0000 0.1867 0.0000
Pb1 Pb 0.0000 0.3989 0.5000
F1 F 0.0000 0.1011 0.5000
F2 F 0.0000 0.3054 0.5000
F3 F 0.0000 0.3924 0.0000
F4 F 0.0000 0.5000 0.5000
```

Raw total energy: -53.32 eV/f.u.

The following is a PBE calculation of an optimized crystal structure of TlSiP, from the Alexandria database.

```
data_TlSiP
_cell_length_a 6.5421
_cell_length_b 6.5421
_cell_length_c 6.5421
_cell_angle_alpha 90.00
_cell_angle_beta 90.00
_cell_angle_gamma 90.00
_symmetry_space_group_name_H-M 'F -4 3 m'
_symmetry_Int_Tables_number 216
_symmetry_space_group_name_Hall 'F -4 2 3'
loop_
_atom_site_label
_atom_site_type_symbol
_atom_site_fract_x
_atom_site_fract_y
_atom_site_fract_z
Tl1 Tl 0.0000 0.0000 0.0000
Si1 Si 0.2500 0.2500 0.7500
P1 P 0.0000 0.0000 0.5000
```

Raw total energy: -11.30 eV/f.u.

The following is a PBE calculation of an optimized crystal structure of La6HN3O2, from the Alexandria database.

```
data_La6HN3O2
_cell_length_a 16.1172
_cell_length_b 3.7005
_cell_length_c 7.4512
_cell_angle_alpha 90.00
_cell_angle_beta 103.81
_cell_angle_gamma 90.00
_symmetry_space_group_name_H-M 'C 1 2/m 1'
_symmetry_Int_Tables_number 12
loop_
_symmetry_equiv_pos_as_xyz
'x,y,z'
'-x,-y,-z'
'-x,y,-z'
'x,-y,z'
'x+1/2,y+1/2,z'
'-x+1/2,-y+1/2,-z'
'-x+1/2,y+1/2,-z'
'x+1/2,-y+1/2,z'
loop_
_atom_site_label
_atom_site_type_symbol
_atom_site_fract_x
_atom_site_fract_y
_atom_site_fract_z
La1 La 0.0018 0.0000 0.2344
La2 La 0.1666 0.5000 0.0863
La3 La 0.1711 0.5000 0.5816
H1 H 0.0000 0.5000 0.5000
N1 N 0.0000 0.5000 0.0000
N2 N 0.1686 0.0000 0.3340
O1 O 0.1658 0.0000 0.8321
```

Raw total energy: -88.86 eV/f.u.

The following is a PBE calculation of an optimized crystal structure of ZrTcAuS2, from the Alexandria database.

```
data_ZrTcAuS2
_cell_length_a 4.4769
_cell_length_b 4.4769
_cell_length_c 5.2417
_cell_angle_alpha 90.00
_cell_angle_beta 90.00
_cell_angle_gamma 90.00
_symmetry_space_group_name_H-M 'P 4/m m m'
_symmetry_Int_Tables_number 123
_symmetry_space_group_name_Hall '-P 4 2'
loop_
_atom_site_label
_atom_site_type_symbol
_atom_site_fract_x
_atom_site_fract_y
_atom_site_fract_z
Zr1 Zr 0.0000 0.0000 0.0000
Tc1 Tc 0.5000 0.5000 0.5000
Au1 Au 0.5000 0.5000 0.0000
S1 S 0.0000 0.5000 0.5000
```

Raw total energy: -29.05 eV/f.u.

The following is a PBE calculation of an optimized crystal structure of La3PtN, from the Alexandria database.

```
data_La3PtN
_cell_length_a 4.9965
_cell_length_b 4.9965
_cell_length_c 4.9965
_cell_angle_alpha 90.00
_cell_angle_beta 90.00
_cell_angle_gamma 90.00
_symmetry_space_group_name_H-M 'P m -3 m'
_symmetry_Int_Tables_number 221
_symmetry_space_group_name_Hall '-P 4 2 3'
loop_
_atom_site_label
_atom_site_type_symbol
_atom_site_fract_x
_atom_site_fract_y
_atom_site_fract_z
La1 La 0.0000 0.0000 0.5000
Pt1 Pt 0.5000 0.5000 0.5000
N1 N 0.0000 0.0000 0.0000
```

Raw total energy: -33.39 eV/f.u.

The following is a PBE calculation of an optimized crystal structure of GdHfTcRh, from the Alexandria database.

```
data_GdHfTcRh
_cell_length_a 6.6931
_cell_length_b 6.6931
_cell_length_c 6.6931
_cell_angle_alpha 90.00
_cell_angle_beta 90.00
_cell_angle_gamma 90.00
_symmetry_space_group_name_H-M 'F -4 3 m'
_symmetry_Int_Tables_number 216
_symmetry_space_group_name_Hall 'F -4 2 3'
loop_
_atom_site_label
_atom_site_type_symbol
_atom_site_fract_x
_atom_site_fract_y
_atom_site_fract_z
Gd1 Gd 0.0000 0.0000 0.0000
Hf1 Hf 0.0000 0.0000 0.5000
Tc1 Tc 0.2500 0.2500 0.2500
Rh1 Rh 0.2500 0.2500 0.7500
```

E_form: -1.9 eV per formula unit
Raw total energy: -43.66 eV/f.u.